This record from Alexandria via LeMat-Bulk describes crystalline LaCo2O at its relaxed geometry. The functional is PBE with a Hubbard U. Values from VASP.

Structure (Quantum ESPRESSO input):
```
&SYSTEM
  ibrav = 0, nat = 8, ntyp = 3
/
ATOMIC_SPECIES
La 138.91 La.upf
Co 58.93 Co.upf
O 16.00 O.upf
ATOMIC_POSITIONS angstrom
La 0.000 0.000 0.000
La 0.000 2.228 3.119
Co 1.114 2.046 -1.559
Co 2.410 1.114 1.559
Co 1.114 0.182 4.678
Co -0.182 1.114 7.796
O 2.228 0.000 3.119
O 0.000 0.000 6.237
CELL_PARAMETERS angstrom
-2.228 2.228 6.237
2.228 -2.228 6.237
2.228 2.228 -6.237
```

## Properties
* E: -5.166 eV per atom